Entry 1:
Below is an optimized crystal structure of Y2Al2Si, with properties calculated at the GGA-PBE level.

Summary:
ΔE_f (raw) (meV per atom): -74.3

Unit cell a=7.4562 b=7.4562 c=4.5569 alpha=90.00 beta=90.00 gamma=90.00
Last column: nearest neighbours and their distance in Å.
Space group P4/mbm (No. 127)
Asymmetric unit:
Y 0.1645 0.3355 0.0000 x4  2 Si 2.79
Al 0.1333 0.6333 0.5000 x4  1 Al 2.81, 2 Y 3.12
Si 0.0000 0.0000 0.0000 x2  4 Y 2.79

=====

Entry 2:
Below is an optimized crystal structure of Sc11Cd9Pd4, with properties calculated at the GGA-PBE level.

Summary:
ΔH_f (0 K) (eV/atom): -0.5057

Unit cell a=14.1656 b=21.1022 c=3.3574 alpha=90.00 beta=90.00 gamma=90.00
Last column: nearest neighbours and their distance in Å.
Space group Cmmm (No. 65)
Asymmetric unit:
Sc 0.0000 0.0000 0.0000 x2  8 Cd 3.04, 4 Sc 3.35-3.36
Sc 0.0000 0.1586 0.0000 x4  8 Cd 3.09-3.19, 3 Sc 3.35-3.36
Sc 0.0000 0.3680 0.0000 x4  4 Pd 2.79
Sc 0.1973 0.5000 0.0000 x4  4 Pd 2.79
Sc 0.2442 0.1711 0.0000 x8  2 Pd 2.70
Cd 0.0000 0.5000 0.5000 x2  4 Pd 3.00, 8 Sc 3.25-3.26, 2 Cd 3.36
Cd 0.1061 0.2591 0.5000 x8  3 Cd 3.01-3.36, 1 Pd 3.02, 8 Sc 3.08-3.22
Cd 0.1422 0.0728 0.5000 x8  1 Pd 3.00, 8 Sc 3.03-3.22, 3 Cd 3.07-3.36
Pd 0.1499 0.3993 0.5000 x8  6 Sc 2.70-2.79, 2 Cd 3.00

=====

Entry 3:
Below is an optimized crystal structure of KOsI2N, with properties calculated at the GGA-PBE level.

Summary:
ΔE_f (raw) (meV per atom): 2287.7

Unit cell a=6.6329 b=6.6329 c=6.7748 alpha=90.00 beta=90.00 gamma=90.00
Last column: nearest neighbours and their distance in Å.
Space group P4/mmm (No. 123)
Asymmetric unit:
K 0.0000 0.0000 0.0000 x1  4 I 3.32, 2 Os 3.39
Os 0.0000 0.0000 0.5000 x1  2 K 3.39
I 0.0000 0.5000 0.0000 x2  2 K 3.32
N 0.5000 0.5000 0.5000 x1  4 Os 4.69, 8 I 4.74

=====

Entry 4:
Below is an optimized crystal structure of Cr3SbBr, with properties calculated at the GGA-PBE level.

Summary:
ΔE_f (raw) (meV per atom): 873.5

Unit cell a=5.3030 b=5.3030 c=5.3030 alpha=90.00 beta=90.00 gamma=90.00
Last column: nearest neighbours and their distance in Å.
Space group Pm-3m (No. 221)
Asymmetric unit:
Cr 0.0000 0.0000 0.5000 x3  2 Sb 2.65
Sb 0.0000 0.0000 0.0000 x1  6 Cr 2.65
Br 0.5000 0.5000 0.5000 x1  12 Cr 3.75

=====

Entry 5:
Below is an optimized crystal structure of NaCuI3, with properties calculated at the GGA-PBE level.

Summary:
ΔE_f (raw) (meV per atom): -487.0

Unit cell a=7.2356 b=7.2356 c=8.6131 alpha=90.00 beta=90.00 gamma=120.00
Last column: nearest neighbours and their distance in Å.
Space group P-31m (No. 162)
Asymmetric unit:
Na 0.3333 0.6667 0.0000 x2  6 I 3.22
Cu 0.0000 0.0000 0.2388 x2  3 I 2.49
I 0.0000 0.3444 0.7477 x6  1 Cu 2.49

=====

Entry 6:
Below is an optimized crystal structure of CrInRh2, with properties calculated at the GGA-PBE level.

Summary:
ΔH_f (0 K) (eV/atom): 0.2527

Unit cell a=6.9775 b=6.9775 c=5.5577 alpha=90.00 beta=90.00 gamma=90.00
Last column: nearest neighbours and their distance in Å.
Space group I-42d (No. 122)
Asymmetric unit:
Cr 0.0000 0.0000 0.0000 x4  4 Rh 2.34
In 0.0000 0.0000 0.5000 x4  2 Cr 2.78, 8 Rh 2.81-3.06
Rh 0.2010 0.2500 0.1250 x8  2 Cr 2.34

=====

Entry 7:
Below is an optimized crystal structure of Mg3CrRh4, with properties calculated at the GGA-PBE level.

Summary:
ΔH_f (0 K) (eV/atom): -0.3764

Unit cell a=3.0807 b=3.0807 c=12.4206 alpha=90.00 beta=90.00 gamma=90.00
Last column: nearest neighbours and their distance in Å.
Space group P4/mmm (No. 123)
Asymmetric unit:
Mg 0.0000 0.0000 0.0000 x1  8 Rh 2.69
Mg 0.0000 0.0000 0.2495 x2  8 Rh 2.66-2.75
Cr 0.0000 0.0000 0.5000 x1  8 Rh 2.61
Rh 0.5000 0.5000 0.1270 x2  8 Mg 2.66-2.69
Rh 0.5000 0.5000 0.3845 x2  4 Cr 2.61, 4 Mg 2.75, 1 Rh 2.87

=====

Entry 8:
Below is an optimized crystal structure of BaTb2P2N6, with properties calculated at the GGA-PBE level.

Summary:
ΔE_f (raw) (meV per atom): -947.1

Unit cell a=6.0111 b=6.0464 c=6.4617 alpha=98.49 beta=112.69 gamma=112.44
Last column: nearest neighbours and their distance in Å.
Space group P-1 (No. 2)
Asymmetric unit:
Ba 0.0000 0.0000 0.0000 x1  4 N 2.79-2.81
Tb 0.3693 0.2973 0.6713 x2  5 N 2.29-2.52
P 0.2969 0.7453 0.7198 x2  3 N 1.58-1.59
N 0.0979 0.8599 0.6218 x2  1 P 1.58
N 0.3322 0.6441 0.9381 x2  1 P 1.59
N 0.4768 0.7166 0.6015 x2  1 P 1.59

=====

Number 1: final energy -5.2416 eV/atom, D(E_F) 6.89 states/eV per cell. Number 2: final energy -4.6163 eV/atom, D(E_F) 45.01 states/eV per cell. Number 3: final energy -2.4629 eV/atom, D(E_F) 5.44 states/eV per cell. Number 4: final energy -6.0596 eV/atom, D(E_F) 7.45 states/eV per cell. Number 5: final energy -2.5002 eV/atom, D(E_F) 8.76 states/eV per cell. Number 6: final energy -6.5135 eV/atom, D(E_F) 22.03 states/eV per cell. Number 7: final energy -5.8530 eV/atom, D(E_F) 7.08 states/eV per cell. Number 8: final energy -7.4885 eV/atom, D(E_F) 0.00 states/eV per cell.